The following is a DFT calculation (PBE-GGA) of a relaxed structure of RbSiO2.

For the total moment, the calculation gives 0.00 μB/f.u. For the formation energy (no corrections), the calculation gives -6.71 eV/f.u.

The space group is I-42d (No. 122) and the conventional cell measures 5.836, 5.836 and 8.224 Å, with angles of 90.00, 90.00 and 90.00 degrees. The distinct sites, in fractional coordinates, are Rb at (0.000, 0.000, 0.000), Si at (0.000, 0.000, 0.500) and O at (0.057, 0.750, 0.625).